# PBE-GGA RbAg2HgF8, optimized geometry
data_RbAg2HgF8
_cell_length_a 6.1369
_cell_length_b 6.1369
_cell_length_c 10.3009
_cell_angle_alpha 90.00
_cell_angle_beta 90.00
_cell_angle_gamma 90.00
_space_group_name_H-M_alt 'I -4'
_space_group_IT_number 82
loop_
_space_group_symop_operation_xyz
'x,y,z'
'y,-x,-z'
'-x,-y,z'
'-y,x,-z'
'x+1/2,y+1/2,z+1/2'
'y+1/2,-x+1/2,-z+1/2'
'-x+1/2,-y+1/2,z+1/2'
'-y+1/2,x+1/2,-z+1/2'
loop_
_atom_site_label
_atom_site_fract_x
_atom_site_fract_y
_atom_site_fract_z
_atom_site_occupancy
Rb1 0.0000 0.0000 0.0000 1
Ag1 0.0000 0.0000 0.5000 1
Ag2 0.0000 0.5000 0.2500 1
Hg1 0.0000 0.5000 0.7500 1
F1 0.0551 0.3135 0.5035 1
F2 0.1994 0.2076 0.2444 1
# * formation energy without anion corrections: -1.456 eV per atom


# PBE-GGA ReAgHg2F6, optimized geometry
data_ReAgHg2F6
_cell_length_a 5.4872
_cell_length_b 8.5457
_cell_length_c 7.9775
_cell_angle_alpha 90.00
_cell_angle_beta 90.00
_cell_angle_gamma 90.00
_space_group_name_H-M_alt 'P m m n'
_space_group_IT_number 59
loop_
_space_group_symop_operation_xyz
'x,y,z'
'-x,-y,-z'
'-x+1/2,-y+1/2,z'
'x+1/2,y+1/2,-z'
'x+1/2,-y,-z'
'-x+1/2,y,z'
'-x,y+1/2,-z'
'x,-y+1/2,z'
loop_
_atom_site_label
_atom_site_fract_x
_atom_site_fract_y
_atom_site_fract_z
_atom_site_occupancy
Re1 0.2500 0.2500 0.0200 1
Ag1 0.2500 0.7500 0.4310 1
Hg1 0.2500 0.0759 0.5126 1
F1 0.0114 0.2500 0.8418 1
F2 0.0125 0.2500 0.1964 1
F3 0.2500 0.0301 0.0193 1
# * formation energy without anion corrections: -1.483 eV per atom